Compound: YZrTa
Source: the Alexandria database
Functional: SCAN
Structure: PBEsol geometry

The calculation puts the offset from the most stable computed form at 667 meV/atom. As for the volume: 25.14 Å³ per atom. For the density of states at the Fermi level, the calculation gives 4.53 states/eV per cell. Its total magnetization is 0.00 μB/f.u. Its formation energy is 922 meV per atom. The space group is F-43m (216).

a b c (Å): 4.743 4.743 4.743
angles (deg): 60.00 60.00 60.00
Fractional coordinates of all 3 atoms:
1 Ta 0.750 0.750 0.750
2 Y 0.000 0.000 0.000
3 Zr 0.500 0.500 0.500